P | {"formula": "Tc3Ni4", "functional": "PBE", "state": "optimized geometry", "vol_a3_per_cell": 174.59, "sg": "P6_3/m, No. 176", "total_magnetization_mub_per_fu": 0.00, "crystal_system": "hexagonal", "lattice_angstrom": [[-1.5982, -3.8770, -0.2192], [-2.8811, 1.5333, -6.1121], [6.3970, -2.6509, 0.2471]], "species": ["Tc", "Tc", "Tc", "Tc", "Tc", "Tc", "Ni", "Ni", "Ni", "Ni", "Ni", "Ni", "Ni", "Ni"], "fractional_positions": [[0.7500, 0.2470, 0.0570], [0.2500, 0.7530, 0.9430], [0.2500, 0.0570, 0.8100], [0.7500, 0.8100, 0.7530], [0.2500, 0.1900, 0.2470], [0.7500, 0.9430, 0.1900], [0.2500, 0.4885, 0.0997], [0.7500, 0.5115, 0.9003], [0.2500, 0.3333, 0.6667], [0.7500, 0.0997, 0.6112], [0.2500, 0.6112, 0.5115], [0.7500, 0.3888, 0.4885], [0.2500, 0.9003, 0.3888], [0.7500, 0.6667, 0.3333]]}


Q | {"formula": "Tc3Ni4", "functional": "PBE", "state": "optimized geometry", "vol_a3_per_cell": 87.65, "sg": "I4/mmm, No. 139", "total_magnetization_mub_per_fu": 0.00, "crystal_system": "tetragonal", "lattice_angstrom": [[-9.1126, -2.2344, 1.8665], [-9.3937, 1.7890, 0.2706], [9.0415, -0.5859, -3.0698]], "species": ["Tc", "Tc", "Tc", "Ni", "Ni", "Ni", "Ni"], "fractional_positions": [[0.0000, 0.0000, 0.0000], [0.7118, 0.7118, 0.0000], [0.2882, 0.2882, 0.0000], [0.8653, 0.8653, 0.0000], [0.5725, 0.5725, 0.0000], [0.4275, 0.4275, 0.0000], [0.1347, 0.1347, 0.0000]]}


Stability verdict: P, ahead by 12.8 kJ/mol of atoms


P | {"formula": "Tc3Ni2", "functional": "PBE", "state": "optimized geometry", "vol_a3_per_cell": 66.60, "sg": "R-3m, No. 166", "total_magnetization_mub_per_fu": 0.00, "crystal_system": "trigonal", "lattice_angstrom": [[10.7399, -1.3397, -0.0016], [10.7399, 1.3397, -0.0016], [10.5731, 0.0000, 2.3128]], "species": ["Tc", "Tc", "Tc", "Ni", "Ni"], "fractional_positions": [[0.0000, 0.0000, 0.0000], [0.7997, 0.7997, 0.7997], [0.2003, 0.2003, 0.2003], [0.6016, 0.6016, 0.6016], [0.3984, 0.3984, 0.3984]]}


Q | {"formula": "Tc3Ni2", "functional": "PBE", "state": "optimized geometry", "vol_a3_per_cell": 132.36, "sg": "Fdd2, No. 43", "total_magnetization_mub_per_fu": 0.00, "crystal_system": "orthorhombic", "lattice_angstrom": [[0.0000, 4.4856, 6.3545], [2.3217, 0.0000, 6.3545], [2.3217, 4.4856, 0.0000]], "species": ["Tc", "Tc", "Tc", "Tc", "Tc", "Tc", "Ni", "Ni", "Ni", "Ni"], "fractional_positions": [[0.3438, 0.4543, 0.7380], [0.4639, 0.7380, 0.4543], [0.7957, 0.9062, 0.7861], [0.5120, 0.7861, 0.9062], [0.9265, 0.0735, 0.0735], [0.1765, 0.3235, 0.3235], [0.3615, 0.5431, 0.1911], [0.9044, 0.1911, 0.5431], [0.7069, 0.8885, 0.3456], [0.0589, 0.3456, 0.8885]]}


R | {"formula": "Tc3Ni2", "functional": "PBE", "state": "optimized geometry", "vol_a3_per_cell": 71.72, "sg": "P-3m1, No. 164", "total_magnetization_mub_per_fu": 1.46, "crystal_system": "trigonal", "lattice_angstrom": [[2.0207, -3.5000, 0.0000], [2.0207, 3.5000, 0.0000], [0.0000, 0.0000, 5.0706]], "species": ["Tc", "Tc", "Tc", "Ni", "Ni"], "fractional_positions": [[0.0000, 0.0000, 0.0000], [0.6667, 0.3333, 0.6071], [0.3333, 0.6667, 0.3929], [0.6667, 0.3333, 0.1157], [0.3333, 0.6667, 0.8843]]}


Stability verdict: P, ahead by 0.7 kJ/mol of atoms


P | {"formula": "TcNiTe3", "functional": "PBE", "state": "optimized geometry", "vol_a3_per_cell": 124.99, "sg": "Pm-3m, No. 221", "total_magnetization_mub_per_fu": 3.35, "crystal_system": "cubic", "lattice_angstrom": [[4.9999, 0.0000, 0.0000], [0.0000, 4.9999, 0.0000], [0.0000, 0.0000, 4.9999]], "species": ["Ni", "Te", "Te", "Te", "Tc"], "fractional_positions": [[0.0000, 0.0000, 0.0000], [0.0000, 0.5000, 0.0000], [0.0000, 0.0000, 0.5000], [0.5000, 0.0000, 0.0000], [0.5000, 0.5000, 0.5000]]}


Q | {"formula": "TcNiTe3", "functional": "PBE", "state": "optimized geometry", "vol_a3_per_cell": 137.42, "sg": "Pm-3m, No. 221", "total_magnetization_mub_per_fu": 0.00, "crystal_system": "cubic", "lattice_angstrom": [[5.1603, 0.0000, 0.0000], [0.0000, 5.1603, 0.0000], [0.0000, 0.0000, 5.1603]], "species": ["Ni", "Te", "Te", "Te", "Tc"], "fractional_positions": [[0.5000, 0.5000, 0.5000], [0.0000, 0.5000, 0.0000], [0.0000, 0.0000, 0.5000], [0.5000, 0.0000, 0.0000], [0.0000, 0.0000, 0.0000]]}


Stability verdict: P, ahead by 7.8 kJ/mol of atoms


P | {"formula": "TcNiTe", "functional": "PBE", "state": "optimized geometry", "vol_a3_per_cell": 47.14, "sg": "I4mm, No. 107", "total_magnetization_mub_per_fu": 0.89, "crystal_system": "tetragonal", "lattice_angstrom": [[4.9208, -0.0034, 0.0039], [3.8174, 3.1050, 0.0024], [1.1034, 0.3929, 3.0834]], "species": ["Ni", "Tc", "Te"], "fractional_positions": [[0.0031, 0.0031, 0.9969], [0.3337, 0.3337, 0.6663], [0.6632, 0.6632, 0.3368]]}


Q | {"formula": "TcNiTe", "functional": "PBE", "state": "optimized geometry", "vol_a3_per_cell": 55.03, "sg": "F-43m, No. 216", "total_magnetization_mub_per_fu": 0.00, "crystal_system": "cubic", "lattice_angstrom": [[-3.7426, -1.4754, 1.4299], [-0.3819, -1.2782, 4.0557], [-2.2926, 2.3134, 2.7605]], "species": ["Ni", "Tc", "Te"], "fractional_positions": [[0.5000, 0.5000, 0.5000], [0.7500, 0.7500, 0.7500], [0.0000, 0.0000, 0.0000]]}


Stability verdict: Q, ahead by 4.6 kJ/mol of atoms


P | {"formula": "Ti4TcNi", "functional": "PBE", "state": "optimized geometry", "vol_a3_per_cell": 105.43, "sg": "C2/m, No. 12", "total_magnetization_mub_per_fu": 0.00, "crystal_system": "monoclinic", "lattice_angstrom": [[4.3238, 0.0000, 0.0000], [2.1619, 3.7345, 0.2153], [2.1619, 0.8565, 6.5787]], "species": ["Ti", "Ti", "Ti", "Ti", "Tc", "Ni"], "fractional_positions": [[0.6243, 0.6244, 0.1269], [0.3757, 0.3756, 0.8731], [0.1276, 0.1277, 0.6171], [0.8724, 0.8723, 0.3829], [0.0000, 0.0000, 0.0000], [0.5000, 0.5000, 0.5000]]}


Q | {"formula": "Ti4TcNi", "functional": "PBE", "state": "optimized geometry", "vol_a3_per_cell": 90.92, "sg": "P4/mmm, No. 123", "total_magnetization_mub_per_fu": 0.00, "crystal_system": "tetragonal", "lattice_angstrom": [[3.0935, -0.0006, 0.0002], [0.0006, 3.0935, 0.0002], [-0.0004, -0.0004, 9.5007]], "species": ["Ti", "Ti", "Ti", "Ti", "Tc", "Ni"], "fractional_positions": [[0.5000, 0.5000, 0.8410], [0.5000, 0.5000, 0.1590], [0.0000, 0.0000, 0.6554], [0.0000, 0.0000, 0.3446], [0.0000, 0.0000, 0.0000], [0.5000, 0.5000, 0.5000]]}


Stability verdict: Q, ahead by 36.3 kJ/mol of atoms


P | {"formula": "Tl2TcNi", "functional": "PBE", "state": "optimized geometry", "vol_a3_per_cell": 74.59, "sg": "Cmmm, No. 65", "total_magnetization_mub_per_fu": 0.81, "crystal_system": "orthorhombic", "lattice_angstrom": [[-2.5927, -0.6470, 1.5017], [2.1041, -2.2271, 0.0917], [3.3452, 3.4596, 7.2660]], "species": ["Ni", "Tc", "Tl", "Tl"], "fractional_positions": [[0.5000, 0.5000, 0.2500], [0.5000, 0.5000, 0.7500], [0.0000, 0.0000, 0.0132], [0.0000, 0.0000, 0.4868]]}


Q | {"formula": "Tl2TcNi", "functional": "PBE", "state": "optimized geometry", "vol_a3_per_cell": 74.05, "sg": "Immm, No. 71", "total_magnetization_mub_per_fu": 0.74, "crystal_system": "orthorhombic", "lattice_angstrom": [[5.3780, 0.0287, 0.0658], [1.8979, 5.0321, -0.0658], [-2.9107, -3.5760, 2.7692]], "species": ["Ni", "Tc", "Tl", "Tl"], "fractional_positions": [[0.7500, 0.2500, 0.5000], [0.2500, 0.7500, 0.5000], [0.9825, 0.9825, 0.0000], [0.5175, 0.5175, 0.0000]]}


R | {"formula": "Tl2TcNi", "functional": "PBE", "state": "optimized geometry", "vol_a3_per_cell": 73.87, "sg": "C2/m, No. 12", "total_magnetization_mub_per_fu": 0.00, "crystal_system": "monoclinic", "lattice_angstrom": [[4.6807, -0.0071, -0.0014], [3.6994, 2.8677, -0.0014], [1.1283, 0.3851, 5.4921]], "species": ["Ni", "Tc", "Tl", "Tl"], "fractional_positions": [[0.2500, 0.2500, 0.2500], [0.7500, 0.7500, 0.7500], [0.9937, 0.9937, 0.0082], [0.5063, 0.5063, 0.4918]]}


Stability verdict: P, ahead by 0.9 kJ/mol of atoms


P | {"formula": "TlTc2Ni", "functional": "PBE", "state": "optimized geometry", "vol_a3_per_cell": 61.84, "sg": "Imm2, No. 44", "total_magnetization_mub_per_fu": 0.00, "crystal_system": "orthorhombic", "lattice_angstrom": [[4.8030, 0.0013, -0.0001], [1.4763, 4.5705, 0.0001], [-3.0110, -2.4626, 2.8175]], "species": ["Ni", "Tc", "Tc", "Tl"], "fractional_positions": [[0.7509, 0.2509, 0.5000], [0.0069, 0.0069, 0.0000], [0.2414, 0.7414, 0.5000], [0.5007, 0.5007, 0.0000]]}


Q | {"formula": "TlTc2Ni", "functional": "PBE", "state": "optimized geometry", "vol_a3_per_cell": 62.43, "sg": "Pmmm, No. 47", "total_magnetization_mub_per_fu": 0.00, "crystal_system": "orthorhombic", "lattice_angstrom": [[3.3474, 0.0000, 0.0000], [0.0000, 4.0789, 0.0000], [0.0000, 0.0000, 4.5725]], "species": ["Ni", "Tc", "Tc", "Tl"], "fractional_positions": [[0.0000, 0.5000, 0.5000], [0.0000, 0.0000, 0.0000], [0.5000, 0.5000, 0.0000], [0.5000, 0.0000, 0.5000]]}


Stability verdict: P, ahead by 6.4 kJ/mol of atoms


P | {"formula": "Tl3TcNi", "functional": "PBE", "state": "optimized geometry", "vol_a3_per_cell": 149.77, "sg": "Pm-3m, No. 221", "total_magnetization_mub_per_fu": 2.29, "crystal_system": "cubic", "lattice_angstrom": [[-2.7132, 4.0390, 2.1278], [-2.9059, 0.3810, -4.4286], [-3.5209, -3.4269, 2.0155]], "species": ["Ni", "Tl", "Tl", "Tl", "Tc"], "fractional_positions": [[0.5000, 0.5000, 0.5000], [0.0000, 0.5000, 0.0000], [0.0000, 0.0000, 0.5000], [0.5000, 0.0000, 0.0000], [0.0000, 0.0000, 0.0000]]}


Q | {"formula": "Tl3TcNi", "functional": "PBE", "state": "optimized geometry", "vol_a3_per_cell": 126.58, "sg": "Pm-3m, No. 221", "total_magnetization_mub_per_fu": 3.52, "crystal_system": "cubic", "lattice_angstrom": [[-4.5025, 1.0952, -1.9335], [-1.7796, -4.3936, 1.6553], [-1.3309, 2.1697, 4.3281]], "species": ["Ni", "Tl", "Tl", "Tl", "Tc"], "fractional_positions": [[0.0000, 0.0000, 0.0000], [0.0000, 0.5000, 0.0000], [0.0000, 0.0000, 0.5000], [0.5000, 0.0000, 0.0000], [0.5000, 0.5000, 0.5000]]}


Stability verdict: Q, ahead by 13.3 kJ/mol of atoms


P | {"formula": "TlTcNi", "functional": "PBE", "state": "optimized geometry", "vol_a3_per_cell": 49.47, "sg": "P3m1, No. 156", "total_magnetization_mub_per_fu": 0.00, "crystal_system": "trigonal", "lattice_angstrom": [[-2.4017, 1.5022, -0.7668], [-0.1187, -2.9201, 0.2673], [-1.6340, 0.6518, 6.3948]], "species": ["Ni", "Tc", "Tl"], "fractional_positions": [[0.0000, 0.0000, 0.0208], [0.6667, 0.3333, 0.3030], [0.3333, 0.6667, 0.6762]]}


Q | {"formula": "TlTcNi", "functional": "PBE", "state": "optimized geometry", "vol_a3_per_cell": 53.46, "sg": "F-43m, No. 216", "total_magnetization_mub_per_fu": 2.00, "crystal_system": "cubic", "lattice_angstrom": [[-2.4450, 3.4308, -0.3638], [-4.0436, -0.3999, -1.1705], [-3.0907, 0.7002, 2.7997]], "species": ["Ni", "Tc", "Tl"], "fractional_positions": [[0.2500, 0.2500, 0.2500], [0.0000, 0.0000, 0.0000], [0.5000, 0.5000, 0.5000]]}


Stability verdict: P, ahead by 4.6 kJ/mol of atoms


P | {"formula": "Tm6TcNi", "functional": "PBE", "state": "optimized geometry", "vol_a3_per_cell": 203.61, "sg": "P-31m, No. 162", "total_magnetization_mub_per_fu": 0.00, "crystal_system": "trigonal", "lattice_angstrom": [[5.9246, -0.2002, 2.2300], [0.1736, 5.8587, 0.0653], [1.0303, -0.1001, 6.2479]], "species": ["Tm", "Tm", "Tm", "Tm", "Tm", "Tm", "Tc", "Ni"], "fractional_positions": [[0.0000, 0.7511, 0.6385], [0.6385, 0.7511, 0.3615], [0.3615, 0.2489, 0.6385], [0.0000, 0.2489, 0.3615], [0.3615, 0.7511, 0.0000], [0.6385, 0.2489, 0.0000], [0.0000, 0.5000, 0.0000], [0.0000, 0.0000, 0.0000]]}


Q | {"formula": "Tm6TcNi", "functional": "PBE", "state": "optimized geometry", "vol_a3_per_cell": 217.24, "sg": "C2/m, No. 12", "total_magnetization_mub_per_fu": 0.00, "crystal_system": "monoclinic", "lattice_angstrom": [[-0.4357, 1.6568, -6.2809], [5.6891, -1.3031, -2.9246], [1.0949, -5.6209, -2.6518]], "species": ["Tm", "Tm", "Tm", "Tm", "Tm", "Tm", "Tc", "Ni"], "fractional_positions": [[0.7481, 0.4207, 0.6493], [0.7481, 0.0700, 0.3507], [0.2519, 0.9300, 0.6493], [0.2519, 0.5793, 0.3507], [0.7547, 0.7527, 0.0000], [0.2453, 0.2473, 0.0000], [0.5000, 0.5000, 0.0000], [0.0000, 0.0000, 0.0000]]}


Stability verdict: P, ahead by 10.1 kJ/mol of atoms


P | {"formula": "UTcNi2", "functional": "PBE", "state": "optimized geometry", "vol_a3_per_cell": 59.92, "sg": "Fm-3m, No. 225", "total_magnetization_mub_per_fu": 0.00, "crystal_system": "cubic", "lattice_angstrom": [[4.3913, 0.0000, 0.0000], [2.1957, 3.8030, 0.0000], [2.1957, 1.2677, 3.5882]], "species": ["Ni", "Ni", "U", "Tc"], "fractional_positions": [[0.7503, 0.7503, 0.7492], [0.2497, 0.2497, 0.2508], [0.5000, 0.5000, 0.5000], [0.0000, 0.0000, 0.0000]]}


Q | {"formula": "UTcNi2", "functional": "PBE", "state": "optimized geometry", "vol_a3_per_cell": 58.56, "sg": "P4/mmm, No. 123", "total_magnetization_mub_per_fu": 0.00, "crystal_system": "tetragonal", "lattice_angstrom": [[-0.2286, 3.5107, -1.9397], [-3.7243, -0.5791, -0.6092], [-0.8119, 1.7635, 3.2875]], "species": ["Ni", "Ni", "U", "Tc"], "fractional_positions": [[0.0000, 0.0000, 0.5000], [0.0000, 0.5000, 0.0000], [0.5000, 0.0000, 0.0000], [0.5000, 0.5000, 0.5000]]}


Stability verdict: Q, ahead by 33.6 kJ/mol of atoms


P | {"formula": "VTc3Ni", "functional": "PBE", "state": "optimized geometry", "vol_a3_per_cell": 84.94, "sg": "Pm-3m, No. 221", "total_magnetization_mub_per_fu": 3.03, "crystal_system": "cubic", "lattice_angstrom": [[4.3957, 0.0000, 0.0000], [0.0000, 4.3957, 0.0000], [0.0000, 0.0000, 4.3957]], "species": ["Ni", "Tc", "Tc", "Tc", "V"], "fractional_positions": [[0.0000, 0.0000, 0.0000], [0.0000, 0.5000, 0.0000], [0.0000, 0.0000, 0.5000], [0.5000, 0.0000, 0.0000], [0.5000, 0.5000, 0.5000]]}


Q | {"formula": "VTc3Ni", "functional": "PBE", "state": "optimized geometry", "vol_a3_per_cell": 85.06, "sg": "Pm-3m, No. 221", "total_magnetization_mub_per_fu": 0.00, "crystal_system": "cubic", "lattice_angstrom": [[4.3978, 0.0000, 0.0000], [0.0000, 4.3978, 0.0000], [0.0000, 0.0000, 4.3978]], "species": ["Ni", "Tc", "Tc", "Tc", "V"], "fractional_positions": [[0.5000, 0.5000, 0.5000], [0.0000, 0.5000, 0.0000], [0.0000, 0.0000, 0.5000], [0.5000, 0.0000, 0.0000], [0.0000, 0.0000, 0.0000]]}


Stability verdict: Q, ahead by 6.4 kJ/mol of atoms